Record 1
GePIrO2 | PBE | optimized geometry

a = 3.822 Å, b = 3.822 Å, c = 5.086 Å
α = 90.00°, β = 90.00°, γ = 90.00°
Element x y z (fractional)
O (0.500, 0.000, 0.000)
Ir (0.000, 0.000, 0.000)
Ge (0.500, 0.500, 0.500)
P (0.000, 0.000, 0.500)
O (0.000, 0.500, 0.000)

Output
* crystal system: tetragonal
* energy above the most stable polymorph in this dataset: 1.9 kJ per mole of atoms
* DOS(E_F): 4.05 states/eV per cell
* energy relative to the elements, uncorrected: -70 meV/atom
* calculated volume: 74.29 Å³ per cell
* size of the total moment: 0.000 μB/cell
* density: 7.328 g/cm3

---

Record 2
GePIrO2 | PBE | optimized geometry

a = 3.451 Å, b = 3.451 Å, c = 7.926 Å
α = 90.00°, β = 90.00°, γ = 90.00°
Element x y z (fractional)
O (0.500, 0.000, 0.000)
Ge (0.000, 0.000, 0.000)
P (0.000, 0.000, 0.500)
O (0.000, 0.500, 0.000)
Ir (0.500, 0.500, 0.500)

Output
* crystal system: tetragonal
* energy above the most stable polymorph in this dataset: 0.0 kJ per mole of atoms
* DOS(E_F): 3.30 states/eV per cell
* energy relative to the elements, uncorrected: -90 meV/atom
* calculated volume: 94.39 Å³ per cell
* size of the total moment: 0.000 μB/cell
* density: 5.767 g/cm3

---

Record 3
PaGeIrO | PBE | optimized geometry

a = 4.052 Å, b = 4.052 Å, c = 7.821 Å
α = 90.00°, β = 90.00°, γ = 90.00°
Element x y z (fractional)
Ge (0.500, 0.000, 0.182)
O (0.500, 0.500, 0.500)
Ir (0.000, 0.000, 0.000)
Pa (0.500, 0.000, 0.661)
Ir (0.500, 0.500, 0.000)
Ge (0.000, 0.500, 0.818)
O (0.000, 0.000, 0.500)
Pa (0.000, 0.500, 0.339)

Output
* crystal system: tetragonal
* DOS(E_F): 3.59 states/eV per cell
* energy relative to the elements, uncorrected: -1722 meV/atom
* calculated volume: 128.42 Å³ per cell
* size of the total moment: 0.000 μB/cell
* density: 13.239 g/cm3

---

Record 4
GeIrPbO6 | PBE | optimized geometry

a = 6.896 Å, b = 7.128 Å, c = 7.157 Å
α = 119.86°, β = 118.80°, γ = 90.00°
Each line ends with the local moment (μB).
Element x y z (fractional)
O (0.197, 0.947, 0.394)  0.02
Ge (0.000, 0.000, 0.500)  0.00
Ge (0.500, 0.000, 0.500)  0.00
O (0.397, 0.679, 0.227)  0.19
O (0.803, 0.053, 0.606)  0.02
O (0.603, 0.952, 0.773)  0.19
O (0.603, 0.321, 0.773)  0.19
O (0.830, 0.679, 0.227)  0.19
O (0.170, 0.321, 0.773)  0.19
Pb (0.976, 0.726, 0.951)  0.01
Ir (0.500, 0.500, 0.000)  0.87
O (0.427, 0.677, 0.854)  0.07
O (0.573, 0.323, 0.146)  0.07
Pb (0.024, 0.274, 0.049)  0.01
Ir (0.500, 0.000, 0.000)  0.87
O (0.397, 0.048, 0.227)  0.19
O (0.170, 0.952, 0.773)  0.19
O (0.830, 0.048, 0.227)  0.19

Output
* crystal system: orthorhombic
* DOS(E_F): 10.34 states/eV per cell
* energy relative to the elements, uncorrected: -958 meV/atom
* calculated volume: 253.65 Å³ per cell
* size of the total moment: 3.887 μB/cell
* density: 7.437 g/cm3

---

Record 5
GeIrPdO6 | PBE | optimized geometry

a = 5.081 Å, b = 5.081 Å, c = 8.751 Å
α = 90.00°, β = 90.00°, γ = 120.00°
Element x y z (fractional)
O (0.647, 0.640, 0.130)
O (0.360, 0.007, 0.130)
Pd (0.000, 0.000, 0.000)
O (0.007, 0.647, 0.870)
Ir (0.333, 0.667, 0.250)
O (0.647, 0.007, 0.370)
Pd (0.000, 0.000, 0.500)
Ge (0.667, 0.333, 0.250)
O (0.360, 0.353, 0.370)
Ir (0.667, 0.333, 0.750)
O (0.353, 0.360, 0.870)
O (0.993, 0.640, 0.370)
O (0.993, 0.353, 0.130)
O (0.353, 0.993, 0.630)
Ge (0.333, 0.667, 0.750)
O (0.640, 0.647, 0.630)
O (0.007, 0.360, 0.630)
O (0.640, 0.993, 0.870)

Output
* crystal system: trigonal
* DOS(E_F): 10.72 states/eV per cell
* energy relative to the elements, uncorrected: -824 meV/atom
* calculated volume: 195.68 Å³ per cell
* size of the total moment: 0.010 μB/cell
* density: 7.931 g/cm3

---

Record 6
PrGeIrO | PBE | optimized geometry

a = 4.143 Å, b = 4.143 Å, c = 8.538 Å
α = 90.00°, β = 90.00°, γ = 90.00°
Element x y z (fractional)
Ge (0.000, 0.500, 0.841)
Ir (0.000, 0.000, 0.000)
Pr (0.500, 0.000, 0.637)
Ge (0.500, 0.000, 0.159)
O (0.500, 0.500, 0.500)
Ir (0.500, 0.500, 0.000)
O (0.000, 0.000, 0.500)
Pr (0.000, 0.500, 0.363)

Output
* crystal system: tetragonal
* DOS(E_F): 1.52 states/eV per cell
* energy relative to the elements, uncorrected: -1754 meV/atom
* calculated volume: 146.54 Å³ per cell
* size of the total moment: 0.000 μB/cell
* density: 9.559 g/cm3